A:
The following is a DFT calculation (SCAN) of KMnFe2 at its PBEsol-relaxed geometry.

CIF file:
```
data_KMnFe2
_space_group_name_H-M_alt 'P 4/m m m'
_space_group_IT_number 123
_space_group_name_Hall '-P 4 2'
_cell_length_a 3.934
_cell_length_b 3.934
_cell_length_c 4.148
_cell_angle_alpha 90.00
_cell_angle_beta 90.00
_cell_angle_gamma 90.00
loop_
_atom_site_label
_atom_site_fract_x
_atom_site_fract_y
_atom_site_fract_z
K1 0.000 0.000 0.000
Mn1 0.500 0.500 0.000
Fe1 0.000 0.500 0.500
```

=====

B:
The following is a DFT calculation (SCAN) of KMnFe2 at its PBEsol-relaxed geometry.

CIF file:
```
data_KMnFe2
_space_group_name_H-M_alt 'P 4/m m m'
_space_group_IT_number 123
_space_group_name_Hall '-P 4 2'
_cell_length_a 2.993
_cell_length_b 2.993
_cell_length_c 7.602
_cell_angle_alpha 90.00
_cell_angle_beta 90.00
_cell_angle_gamma 90.00
loop_
_atom_site_label
_atom_site_fract_x
_atom_site_fract_y
_atom_site_fract_z
K1 0.000 0.000 0.000
Mn1 0.000 0.000 0.500
Fe1 0.500 0.500 0.353
```

=====

Which structure loses on stability? A does.

=====

A:
The following is a DFT calculation (SCAN) of KFeMo2 at its PBEsol-relaxed geometry.

CIF file:
```
data_KFeMo2
_space_group_name_H-M_alt 'P 4/m m m'
_space_group_IT_number 123
_space_group_name_Hall '-P 4 2'
_cell_length_a 2.672
_cell_length_b 2.672
_cell_length_c 9.809
_cell_angle_alpha 90.00
_cell_angle_beta 90.00
_cell_angle_gamma 90.00
loop_
_atom_site_label
_atom_site_fract_x
_atom_site_fract_y
_atom_site_fract_z
K1 0.000 0.000 0.000
Fe1 0.000 0.000 0.500
Mo1 0.500 0.500 0.325
```

=====

B:
The following is a DFT calculation (SCAN) of KFeMo2 at its PBEsol-relaxed geometry.

CIF file:
```
data_KFeMo2
_space_group_name_H-M_alt 'P 4/m m m'
_space_group_IT_number 123
_space_group_name_Hall '-P 4 2'
_cell_length_a 4.951
_cell_length_b 4.951
_cell_length_c 2.612
_cell_angle_alpha 90.00
_cell_angle_beta 90.00
_cell_angle_gamma 90.00
loop_
_atom_site_label
_atom_site_fract_x
_atom_site_fract_y
_atom_site_fract_z
K1 0.000 0.000 0.000
Fe1 0.500 0.500 0.000
Mo1 0.000 0.500 0.500
```

=====

Which structure loses on stability? B does.

=====

A:
The following is a DFT calculation (SCAN) of K2FeRe at its PBEsol-relaxed geometry.

CIF file:
```
data_K2FeRe
_space_group_name_H-M_alt 'P 4/m m m'
_space_group_IT_number 123
_space_group_name_Hall '-P 4 2'
_cell_length_a 3.600
_cell_length_b 3.600
_cell_length_c 5.680
_cell_angle_alpha 90.00
_cell_angle_beta 90.00
_cell_angle_gamma 90.00
loop_
_atom_site_label
_atom_site_fract_x
_atom_site_fract_y
_atom_site_fract_z
K1 0.000 0.500 0.000
Fe1 0.000 0.000 0.500
Re1 0.500 0.500 0.500
```

=====

B:
The following is a DFT calculation (SCAN) of K2FeRe at its PBEsol-relaxed geometry.

CIF file:
```
data_K2FeRe
_space_group_name_H-M_alt 'P m m 2'
_space_group_IT_number 25
_cell_length_a 2.800
_cell_length_b 3.679
_cell_length_c 10.205
_cell_angle_alpha 90.00
_cell_angle_beta 90.00
_cell_angle_gamma 90.00
loop_
_space_group_symop_operation_xyz
'x,y,z'
'-x,-y,z'
'-x,y,z'
'x,-y,z'
loop_
_atom_site_label
_atom_site_fract_x
_atom_site_fract_y
_atom_site_fract_z
K1 0.000 0.000 0.000
K2 0.500 0.500 0.427
Fe1 0.000 0.000 0.673
Re1 0.500 0.500 0.746
```

=====

C:
The following is a DFT calculation (SCAN) of K2FeRe at its PBEsol-relaxed geometry.

CIF file:
```
data_K2FeRe
_space_group_name_H-M_alt 'F m -3 m'
_space_group_IT_number 225
_space_group_name_Hall '-F 4 2 3'
_cell_length_a 7.640
_cell_length_b 7.640
_cell_length_c 7.640
_cell_angle_alpha 90.00
_cell_angle_beta 90.00
_cell_angle_gamma 90.00
loop_
_atom_site_label
_atom_site_fract_x
_atom_site_fract_y
_atom_site_fract_z
K1 0.250 0.250 0.250
Fe1 0.000 0.000 0.000
Re1 0.000 0.000 0.500
```

=====

Which structure loses on stability? C does.